# 1
A plane-wave DFT calculation with PBE was carried out for a relaxed Ge2HOs crystal.

The structure in extended XYZ format:
```
16
Lattice="4.7467 0.0000 0.0000 0.0000 4.7467 0.0000 0.0000 0.0000 11.1458" Properties=species:S:1:pos:R:3 pbc="T T T"
Ge 0.8145 1.1867 1.3932
Ge 1.1867 3.1879 4.1797
Ge 1.1867 3.9322 9.7526
Ge 1.5588 1.1867 6.9661
Ge 3.1879 3.5600 6.9661
Ge 3.5600 0.8145 9.7526
Ge 3.5600 1.5588 4.1797
Ge 3.9322 3.5600 1.3932
H 0.0000 0.0000 0.0000
H 0.0000 2.3734 2.7865
H 2.3734 0.0000 8.3594
H 2.3734 2.3734 5.5729
Os 0.0000 0.0000 5.5729
Os 0.0000 2.3734 8.3594
Os 2.3734 0.0000 2.7865
Os 2.3734 2.3734 0.0000
```

Computed properties:
Calculated total energy ... -83.39 eV for the cell shown
Total magnetic moment ... 0.00 μB per atom
Symmetry ... No. 122
Volume ... 251 Å³ per cell

# 2
A plane-wave DFT calculation with PBE was carried out for a relaxed Ge3HOs crystal.

The structure in extended XYZ format:
```
5
Lattice="4.1059 0.0000 0.0000 0.0000 4.1059 0.0000 0.0000 0.0000 4.1059" Properties=species:S:1:pos:R:3 pbc="T T T"
Ge 0.0000 0.0000 2.0529
Ge 0.0000 2.0529 0.0000
Ge 2.0529 0.0000 0.0000
H 0.0000 0.0000 0.0000
Os 2.0529 2.0529 2.0529
```

Computed properties:
Calculated total energy ... -24.74 eV for the cell shown
Total magnetic moment ... 0.00 μB per atom
Symmetry ... No. 221
Volume ... 69 Å³ per cell

# 3
A plane-wave DFT calculation with PBE was carried out for a relaxed GeHOs3 crystal.

The structure in extended XYZ format:
```
5
Lattice="3.9419 0.0000 0.0000 0.0000 3.9419 0.0000 0.0000 0.0000 3.9419" Properties=species:S:1:pos:R:3 pbc="T T T"
Ge 0.0000 0.0000 0.0000
H 1.9710 1.9710 1.9710
Os 0.0000 1.9710 1.9710
Os 1.9710 0.0000 1.9710
Os 1.9710 1.9710 0.0000
```

Computed properties:
Calculated total energy ... -38.69 eV for the cell shown
Total magnetic moment ... 0.30 μB per atom
Symmetry ... No. 221
Volume ... 61 Å³ per cell

# 4
A plane-wave DFT calculation with PBE was carried out for a relaxed GeH2Os2 crystal.

The structure in extended XYZ format:
```
10
Lattice="5.6430 0.0000 0.0000 0.0000 5.6430 0.0000 0.0000 0.0000 3.1663" Properties=species:S:1:pos:R:3 pbc="T T T"
Ge 0.0000 0.0000 0.0000
Ge 2.8215 2.8215 0.0000
H 0.4919 2.3296 0.0000
H 2.3296 5.1511 0.0000
H 3.3134 0.4919 0.0000
H 5.1511 3.3134 0.0000
Os 1.0161 1.8054 1.5831
Os 1.8054 4.6269 1.5831
Os 3.8376 1.0161 1.5831
Os 4.6269 3.8376 1.5831
```

Computed properties:
Calculated total energy ... -64.15 eV for the cell shown
Total magnetic moment ... 0.00 μB per atom
Symmetry ... No. 127
Volume ... 101 Å³ per cell